No. 1
First-principles (PBE) data for Ca3AcPd2 after structural relaxation, as listed in the Alexandria database.

- DOS(E_F) (states/eV/f.u.) = 4.46
- crystal system = monoclinic
- DFT formation energy (eV per atom) = -0.5200

Unit cell a=9.608 b=9.608 c=10.248 alpha=111.84 beta=111.84 gamma=24.82
Atoms (fractional coordinates):
Ca (0.029, 0.029, 0.182)
Ca (0.318, 0.318, 0.619)
Ca (0.331, 0.331, 0.989)
Ca (0.669, 0.669, 0.011)
Ca (0.682, 0.682, 0.381)
Ca (0.971, 0.971, 0.818)
Ac (0.113, 0.113, 0.636)
Ac (0.887, 0.887, 0.364)
Pd (0.248, 0.248, 0.246)
Pd (0.480, 0.480, 0.621)
Pd (0.520, 0.520, 0.379)
Pd (0.752, 0.752, 0.754)

No. 2
First-principles (PBE) data for CaAc2Pd2 after structural relaxation, as listed in the Alexandria database.

- DOS(E_F) (states/eV/f.u.) = 2.73
- crystal system = tetragonal
- DFT formation energy (eV per atom) = -0.6789

Unit cell a=8.256 b=8.256 c=4.325 alpha=90.00 beta=90.00 gamma=90.00
Atoms (fractional coordinates):
Ca (0.000, 0.000, 0.000)
Ca (0.500, 0.500, 0.000)
Ac (0.166, 0.334, 0.500)
Ac (0.334, 0.834, 0.500)
Ac (0.666, 0.166, 0.500)
Ac (0.834, 0.666, 0.500)
Pd (0.131, 0.631, 0.000)
Pd (0.369, 0.131, 0.000)
Pd (0.631, 0.869, 0.000)
Pd (0.869, 0.369, 0.000)

No. 3
First-principles (PBE) data for Ca2AcPd after structural relaxation, as listed in the Alexandria database.

- DOS(E_F) (states/eV/f.u.) = 3.75
- crystal system = trigonal
- offset from the most stable computed form (meV/atom) = 153
- DFT formation energy (eV per atom) = -0.2654

Unit cell a=10.306 b=10.306 c=10.306 alpha=22.54 beta=22.54 gamma=22.54
Atoms (fractional coordinates):
Ca (0.000, 0.000, 0.000)
Ca (0.222, 0.222, 0.222)
Ac (0.445, 0.445, 0.445)
Pd (0.611, 0.611, 0.611)

No. 4
First-principles (PBE) data for CaAc2Pd after structural relaxation, as listed in the Alexandria database.

- DOS(E_F) (states/eV/f.u.) = 3.78
- crystal system = orthorhombic
- offset from the most stable computed form (meV/atom) = 0
- DFT formation energy (eV per atom) = -0.4069

Unit cell a=7.769 b=10.661 c=6.883 alpha=90.00 beta=90.00 gamma=90.00
Atoms (fractional coordinates):
Ca (0.040, 0.250, 0.156)
Ca (0.460, 0.750, 0.656)
Ca (0.540, 0.250, 0.344)
Ca (0.960, 0.750, 0.844)
Ac (0.175, 0.065, 0.672)
Ac (0.175, 0.435, 0.672)
Ac (0.325, 0.565, 0.172)
Ac (0.325, 0.935, 0.172)
Ac (0.675, 0.065, 0.828)
Ac (0.675, 0.435, 0.828)
Ac (0.825, 0.565, 0.328)
Ac (0.825, 0.935, 0.328)
Pd (0.118, 0.750, 0.431)
Pd (0.382, 0.250, 0.931)
Pd (0.618, 0.750, 0.069)
Pd (0.882, 0.250, 0.569)

No. 5
First-principles (PBE) data for Ca3AcPd after structural relaxation, as listed in the Alexandria database.

- DOS(E_F) (states/eV/f.u.) = 4.30
- crystal system = monoclinic
- offset from the most stable computed form (meV/atom) = 0
- DFT formation energy (eV per atom) = -0.3187

Unit cell a=6.916 b=6.916 c=14.346 alpha=113.19 beta=113.19 gamma=34.57
Atoms (fractional coordinates):
Ca (0.000, 0.000, 0.000)
Ca (0.006, 0.006, 0.385)
Ca (0.342, 0.342, 0.486)
Ca (0.452, 0.452, 0.755)
Ca (0.653, 0.653, 0.248)
Ca (0.669, 0.669, 0.609)
Ac (0.213, 0.213, 0.849)
Ac (0.327, 0.327, 0.137)
Pd (0.012, 0.012, 0.623)
Pd (0.664, 0.664, 0.985)

No. 6
First-principles (PBE) data for CaAc5Pd6 after structural relaxation, as listed in the Alexandria database.

- DOS(E_F) (states/eV/f.u.) = 7.38
- crystal system = monoclinic
- DFT formation energy (eV per atom) = -0.7370

Unit cell a=7.586 b=7.586 c=7.575 alpha=99.59 beta=99.59 gamma=120.11
Atoms (fractional coordinates):
Ca (0.000, 0.000, 0.000)
Ac (0.167, 0.833, 0.500)
Ac (0.334, 0.666, 0.000)
Ac (0.500, 0.500, 0.500)
Ac (0.666, 0.334, 0.000)
Ac (0.833, 0.167, 0.500)
Pd (0.083, 0.413, 0.248)
Pd (0.247, 0.247, 0.752)
Pd (0.413, 0.083, 0.248)
Pd (0.587, 0.917, 0.752)
Pd (0.753, 0.753, 0.248)
Pd (0.917, 0.587, 0.752)